Below is CsCr2F after structural relaxation, with properties calculated at the GGA+U level.

Computed properties:
Its space group is Fm-3m (225). Its density is 4.0 g/cm³. Its volume is 105.6 Å³/f.u. Its spin magnetization is 2.89 μB/atom. The value obtained for the total energy is -0.2978 Ry/atom. The crystal system is cubic.

Unit cell a=5.3059 b=5.3059 c=5.3059 alpha=60.00 beta=60.00 gamma=60.00
With the nearest neighbours (Å) after each atom.
Element x y z (fractional)
Cr: 0.7500 0.7500 0.7500  4 Cs 3.25, 4 F 3.25
Cr: 0.2500 0.2500 0.2500  4 Cs 3.25, 4 F 3.25
F: 0.0000 0.0000 0.0000  8 Cr 3.25
Cs: 0.5000 0.5000 0.5000  8 Cr 3.25